Entry from the Alexandria database: a relaxed structure of Pm2HoN (PBE).

Properties
**Formation energy from raw total energies**: -566 meV per atom

Unit cell a=3.5505 b=3.5505 c=9.8114 alpha=79.58 beta=79.58 gamma=60.00
With the nearest neighbours (Å) after each atom.
Atoms (fractional coordinates):
Pm 0.1191 0.1191 0.6426  3 N 2.46
Pm 0.8809 0.8809 0.3574  3 N 2.46
Ho 0.0000 0.0000 0.0000  2 Pm 3.43, 6 Ho 3.55
N 0.5000 0.5000 0.5000  6 Pm 2.46

Entry from the Alexandria database: a relaxed structure of Mg2HPtAu (PBE).

Properties
**Distance to the lowest polymorph of the same formula**: 9.8 kJ per mole of atoms

Unit cell a=4.3721 b=4.3721 c=3.7173 alpha=90.00 beta=90.00 gamma=90.00
With the nearest neighbours (Å) after each atom.
Atoms (fractional coordinates):
Pt 0.5000 0.5000 0.5000  8 Mg 2.87, 4 Au 3.09
Au 0.0000 0.0000 0.5000  2 H 1.86
Mg 0.0000 0.5000 0.0000  2 H 2.19
Mg 0.5000 0.0000 0.0000  2 H 2.19
H 0.0000 0.0000 0.0000  2 Au 1.86

Entry from the Alexandria database: a relaxed structure of NbTlRh3 (PBE).

Properties
**Distance to the lowest polymorph of the same formula**: 90.9 kJ per mole of atoms
**DFT formation energy**: 1718 meV per atom

Unit cell a=4.8310 b=4.8310 c=4.8310 alpha=90.00 beta=90.00 gamma=90.00
With the nearest neighbours (Å) after each atom.
Atoms (fractional coordinates):
Rh 0.0000 0.0000 0.5000  2 Tl 2.42
Rh 0.5000 0.0000 0.0000  2 Tl 2.42
Tl 0.0000 0.0000 0.0000  6 Rh 2.42
Nb 0.5000 0.5000 0.5000  12 Rh 3.42
Rh 0.0000 0.5000 0.0000  2 Tl 2.42

Entry from the Alexandria database: a relaxed structure of SrCo3Ag (PBE).

Properties
**Distance to the lowest polymorph of the same formula**: 0.0 kJ per mole of atoms
**DFT formation energy**: 1107 meV per atom

Unit cell a=4.8044 b=4.8044 c=4.8044 alpha=90.00 beta=90.00 gamma=90.00
With the nearest neighbours (Å) after each atom.
Atoms (fractional coordinates):
Co 0.0000 0.0000 0.5000  2 Ag 2.40
Co 0.5000 0.0000 0.0000  2 Ag 2.40
Sr 0.5000 0.5000 0.5000  12 Co 3.40
Co 0.0000 0.5000 0.0000  2 Ag 2.40
Ag 0.0000 0.0000 0.0000  6 Co 2.40

Entry from the Alexandria database: a relaxed structure of CsTl2HgRh (PBE).

Properties
**Distance to the lowest polymorph of the same formula**: 0.0 kJ per mole of atoms
**DFT formation energy**: -138 meV per atom

Unit cell a=5.3524 b=5.3524 c=5.5407 alpha=90.00 beta=90.00 gamma=90.00
With the nearest neighbours (Å) after each atom.
Atoms (fractional coordinates):
Rh 0.0000 0.0000 0.0000  4 Tl 2.68, 2 Hg 2.77
Hg 0.0000 0.0000 0.5000  2 Rh 2.77
Tl 0.0000 0.5000 0.0000  2 Rh 2.68
Cs 0.5000 0.5000 0.5000  4 Hg 3.78, 8 Tl 3.85
Tl 0.5000 0.0000 0.0000  2 Rh 2.68

Entry from the Alexandria database: a relaxed structure of Cs2CrGeI6 (PBE).

Properties
**Formation energy from raw total energies**: -786 meV per atom

Unit cell a=8.3201 b=8.3201 c=8.3257 alpha=60.02 beta=60.02 gamma=90.00
With the nearest neighbours (Å) after each atom.
Atoms (fractional coordinates):
I 0.2560 0.2560 0.4879  1 Cr 2.87, 1 Ge 3.02
Ge 0.0000 0.0000 0.0000  6 I 3.02
I 0.7438 0.7438 0.0000  1 Cr 2.87, 1 Ge 3.02
I 0.7438 0.2562 0.0000  1 Cr 2.87, 1 Ge 3.02
Cr 0.5000 0.5000 0.0000  6 I 2.87
I 0.2562 0.2562 0.0000  1 Cr 2.87, 1 Ge 3.02
Cs 0.7500 0.2500 0.5000  12 I 4.16
I 0.7440 0.7440 0.5121  1 Cr 2.87, 1 Ge 3.02
Cs 0.2500 0.7500 0.5000  12 I 4.16
I 0.2562 0.7438 0.0000  1 Cr 2.87, 1 Ge 3.02

Entry from the Alexandria database: a relaxed structure of ZrSc2TlFe (PBE).

Properties
**DFT formation energy**: 28 meV per atom

Unit cell a=4.8469 b=4.8469 c=4.8120 alpha=90.00 beta=90.00 gamma=90.00
With the nearest neighbours (Å) after each atom.
Atoms (fractional coordinates):
Sc 0.5000 0.0000 0.0000  2 Fe 2.42
Sc 0.0000 0.5000 0.0000  2 Fe 2.42
Fe 0.0000 0.0000 0.0000  2 Zr 2.41, 4 Sc 2.42
Tl 0.5000 0.5000 0.5000  8 Sc 3.41, 4 Zr 3.43
Zr 0.0000 0.0000 0.5000  2 Fe 2.41

Entry from the Alexandria database: a relaxed structure of ZnAg3Ge (PBE).

Properties
**Distance to the lowest polymorph of the same formula**: 6.8 kJ per mole of atoms
**DFT formation energy**: 585 meV per atom

Unit cell a=4.8211 b=4.8211 c=4.8211 alpha=90.00 beta=90.00 gamma=90.00
With the nearest neighbours (Å) after each atom.
Atoms (fractional coordinates):
Ag 0.0000 0.0000 0.5000  2 Zn 2.41
Zn 0.0000 0.0000 0.0000  6 Ag 2.41
Ag 0.5000 0.0000 0.0000  2 Zn 2.41
Ag 0.0000 0.5000 0.0000  2 Zn 2.41
Ge 0.5000 0.5000 0.5000  12 Ag 3.41

Entry from the Alexandria database: a relaxed structure of ScSnPd2 (PBE).

Properties
**DFT formation energy**: -730 meV per atom

Unit cell a=3.4391 b=3.4391 c=6.2682 alpha=90.00 beta=90.00 gamma=90.00
With the nearest neighbours (Å) after each atom.
Atoms (fractional coordinates):
Sn 0.5000 0.5000 0.5000  8 Pd 2.94, 2 Sc 3.13
Pd 0.0000 0.0000 0.7632  4 Sc 2.85, 4 Sn 2.94, 1 Pd 2.97
Pd 0.0000 0.0000 0.2368  4 Sc 2.85, 4 Sn 2.94, 1 Pd 2.97
Sc 0.5000 0.5000 0.0000  8 Pd 2.85, 2 Sn 3.13

Entry from the Alexandria database: a relaxed structure of PmSnGePd (PBE).

Properties
**DFT formation energy**: -506 meV per atom

Unit cell a=4.9783 b=4.9783 c=4.9783 alpha=60.00 beta=60.00 gamma=60.00
With the nearest neighbours (Å) after each atom.
Atoms (fractional coordinates):
Pm 0.0000 0.0000 0.0000  4 Ge 3.05, 4 Pd 3.05
Ge 0.2500 0.2500 0.2500  4 Sn 3.05, 4 Pm 3.05
Pd 0.7500 0.7500 0.7500  4 Sn 3.05, 4 Pm 3.05
Sn 0.5000 0.5000 0.5000  4 Ge 3.05, 4 Pd 3.05

Entry from the Alexandria database: a relaxed structure of Ce8RuPt5 (PBE).

Properties
**DFT formation energy**: -832 meV per atom

Unit cell a=7.6353 b=7.6353 c=7.6353 alpha=109.99 beta=108.43 gamma=109.99
With the nearest neighbours (Å) after each atom.
Atoms (fractional coordinates):
Ce 0.0094 0.1381 0.7483  1 Ru 2.74, 2 Pt 2.86-2.90
Ce 0.6102 0.8619 0.8713  1 Ru 2.74, 2 Pt 2.86-2.90
Ru 0.2500 0.5000 0.7500  4 Ce 2.74
Pt 0.5000 0.0000 0.5000  4 Ce 2.85
Pt 0.8782 0.8708 0.2448  4 Ce 2.86-2.90
Pt 0.3740 0.1292 0.0074  4 Ce 2.86-2.90
Ce 0.2517 0.2611 0.3898  1 Ru 2.74, 2 Pt 2.86-2.90
Ce 0.5021 0.6259 0.2483  3 Pt 2.85-2.89
Ce 0.6224 0.3741 0.8762  3 Pt 2.85-2.89
Ce 0.7517 0.2538 0.3776  3 Pt 2.85-2.89
Pt 0.7552 0.6334 0.6260  4 Ce 2.86-2.90
Pt 0.9926 0.3666 0.1218  4 Ce 2.86-2.90
Ce 0.1238 0.7462 0.4979  3 Pt 2.85-2.89
Ce 0.1287 0.7389 0.9906  1 Ru 2.74, 2 Pt 2.86-2.90

Entry from the Alexandria database: a relaxed structure of PmAlB14 (PBE).

Properties
**DFT formation energy**: -151 meV per atom

Unit cell a=5.9212 b=7.3527 c=7.3527 alpha=68.96 beta=66.26 gamma=66.26
With the nearest neighbours (Å) after each atom.
Atoms (fractional coordinates):
B 0.6729 0.0304 0.1276  6 B 1.76-1.87
B 0.8605 0.7700 0.5089  3 B 1.76-1.78
B 0.1729 0.6276 0.5304  6 B 1.76-1.87
B 0.8970 0.7792 0.1022  6 B 1.80-1.92
B 0.6395 0.9911 0.7300  3 B 1.76-1.78
B 0.3271 0.9696 0.8724  6 B 1.76-1.87
B 0.8271 0.3724 0.4696  6 B 1.76-1.87
B 0.1395 0.2300 0.4911  3 B 1.76-1.78
B 0.8309 0.9696 0.8724  6 B 1.76-1.87
B 0.3331 0.6336 0.7002  6 B 1.76-1.87
B 0.7216 0.6022 0.2792  6 B 1.80-1.92
B 0.0892 0.0758 0.7458  6 B 1.76-1.84
B 0.1030 0.2208 0.8978  6 B 1.80-1.92
B 0.3970 0.6022 0.2792  6 B 1.80-1.92
B 0.1669 0.7998 0.8664  6 B 1.76-1.87
B 0.6691 0.6276 0.5304  6 B 1.76-1.87
B 0.8331 0.2002 0.1336  6 B 1.76-1.87
B 0.3605 0.0089 0.2700  3 B 1.76-1.78
Al 0.5000 0.0000 0.5000  8 B 2.13-2.36
B 0.3309 0.3724 0.4696  6 B 1.76-1.87
B 0.5892 0.2458 0.5758  6 B 1.76-1.84
Pm 0.7500 0.6033 0.8967  16 B 2.59-2.85
B 0.1691 0.0304 0.1276  6 B 1.76-1.87
Al 0.0000 0.0000 0.5000  8 B 2.13-2.36
B 0.7784 0.2208 0.8978  6 B 1.80-1.92
B 0.4108 0.7542 0.4242  6 B 1.76-1.84
B 0.2216 0.7792 0.1022  6 B 1.80-1.92
B 0.6669 0.3664 0.2998  6 B 1.76-1.87
B 0.2784 0.3978 0.7208  6 B 1.80-1.92
Pm 0.2500 0.3967 0.1033  16 B 2.59-2.85
B 0.9108 0.9242 0.2542  6 B 1.76-1.84
B 0.6030 0.3978 0.7208  6 B 1.80-1.92

Short version: calculated total energy = -24.7 -18.0 -25.9 -20.3 -13.9 -33.1 -31.9 -11.5 -23.6 -20.6 -98.6 -104.4 eV/f.u., in the order given.
Short version: M_tot = 0.0 0.0 0.0 5.5 0.0 4.0 0.0 0.0 0.0 0.0 5.0 0.0 μB per cell, in the order given.
Short version: V = 104.75 71.06 112.75 110.90 158.73 407.80 113.04 112.06 74.14 87.24 342.57 260.70 Å³/cell, in the order given.